1.
Below is a crystal of VNiP2O8 relaxed with PBEsol, with properties calculated at the meta-GGA SCAN level.

## Properties
Total DFT energy (no corrections) in Ha/atom: -0.40398
Spin magnetization in μB per formula unit: 3.0
Mass density in Mg/m³: 3.79
Formation energy without anion corrections in meV per atom: -2301

a b c (Å): 4.738 5.696 9.732
angles (deg): 90.00 88.27 90.00
Each line ends with the local moment (μB).
Element x y z (fractional)
V1 0.473 0.750 0.730  1.06
V2 0.527 0.250 0.270  1.06
Ni1 0.955 0.250 0.769  1.70
Ni2 0.045 0.750 0.231  1.70
P1 0.581 0.750 0.405  0.01
P2 0.419 0.250 0.595  0.01
P3 0.114 0.250 0.091  0.01
P4 0.886 0.750 0.909  0.01
O1 0.346 0.250 0.439  -0.04
O2 0.654 0.750 0.561  -0.04
O3 0.265 0.750 0.395  0.03
O4 0.735 0.250 0.605  0.03
O5 0.797 0.250 0.129  -0.03
O6 0.203 0.750 0.871  -0.03
O7 0.833 0.750 0.061  0.02
O8 0.167 0.250 0.939  0.02
O9 0.735 0.963 0.333  0.05
O10 0.735 0.537 0.333  0.05
O11 0.265 0.463 0.667  0.05
O12 0.265 0.037 0.667  0.05
O13 0.268 0.043 0.169  0.03
O14 0.268 0.457 0.169  0.03
O15 0.732 0.957 0.831  0.03
O16 0.732 0.543 0.831  0.03



2.
Below is a crystal of Zr5Be relaxed with PBEsol, with properties calculated at the meta-GGA SCAN level.

## Properties
Total DFT energy (no corrections) in Ha/atom: -0.96603
DFT formation energy in eV per atom: 0.02
DOS at the Fermi energy in states/eV/atom: 1.06
Spin magnetization in μB per formula unit: 0.0
Mass density in Mg/m³: 6.45
Energy above the lowest structure with this stoichiometry in meV/atom: 0

a b c (Å): 3.147 3.147 12.092
angles (deg): 90.00 90.00 90.00
Element x y z (fractional)
Be1 0.500 0.500 0.500
Zr1 0.000 0.000 0.631
Zr2 0.500 0.500 0.814
Zr3 0.000 0.000 0.000
Zr4 0.500 0.500 0.186
Zr5 0.000 0.000 0.369